Crystalline RbGaRu2 at its relaxed geometry, computed with PBE.

total DFT energy (no corrections)	-4.79	eV/atom
formation enthalpy at 0 K	3.395	eV/f.u.
crystal system	tetragonal
density of states at the Fermi level	9.778	states/eV/cell

Lattice parameters (Å, degrees): 9.6261 9.6261 9.6261 151.08 151.08 41.35
With the nearest neighbours (Å) after each atom.
Fractional positions:
Rb 0.0000 0.0000 0.0000  4 Ga 3.40, 8 Ru 3.49-3.52
Rb 0.7500 0.2500 0.5000  4 Ga 3.40, 8 Ru 3.49-3.52
Ga 0.2500 0.7500 0.5000  4 Ru 2.55
Ga 0.5000 0.5000 0.0000  4 Ru 2.55
Ru 0.3699 0.6250 0.2449  2 Ru 2.40, 2 Ga 2.55
Ru 0.3750 0.6199 0.7449  2 Ru 2.40, 2 Ga 2.55
Ru 0.3801 0.1250 0.7551  2 Ru 2.40, 2 Ga 2.55
Ru 0.8750 0.6301 0.2551  2 Ru 2.40, 2 Ga 2.55